Computed, not measured: a relaxed structure of CaMgCu2 at the PBE level of DFT.

Cell: 7.7468 4.4622 5.4921 Å, 90.00 118.02 90.00°
With the nearest neighbours (Å) after each atom.
Space group C2/m (No. 12)
Symmetry-distinct sites (fractional):
Ca: 0.0000 0.0000 0.0000  2 Cu 2.89
Mg: 0.0000 0.5000 0.5000  6 Cu 2.62
Cu: 0.1989 0.0000 0.5957  3 Mg 2.62, 3 Cu 2.74-2.75, 1 Ca 2.89

Its formation energy is -99 meV per atom. The value obtained for the total moment is 0.000 μB per formula unit. Its crystal system is monoclinic.